This record from Alexandria via LeMat-Bulk describes an optimized crystal structure of Pm5Ho2ErTm. The functional is GGA-PBE.

Calculated values
Energy of formation from the pure elements: 14 kJ per mole of atoms
Calculated volume: 604 Å³/cell
Energy: -81.28 eV/cell
SG: Cmc2_1 (36)

a b c (Å): 5.612 10.497 10.643
angles (deg): 90.00 90.00 105.50
Sites, in units of the cell vectors:
Pm  0.984  0.967  0.517
Pm  0.517  0.034  0.244
Pm  0.616  0.232  0.521
Pm  0.280  0.559  0.313
Pm  0.720  0.441  0.813
Pm  0.483  0.966  0.744
Pm  0.298  0.596  0.707
Pm  0.702  0.404  0.207
Pm  0.384  0.768  0.021
Pm  0.016  0.033  0.017
Tm  0.802  0.603  0.511
Tm  0.198  0.397  0.011
Er  0.408  0.816  0.463
Er  0.592  0.184  0.963
Ho  0.112  0.225  0.739
Ho  0.888  0.775  0.239
Ho  0.114  0.228  0.310
Ho  0.886  0.772  0.810